This record from Alexandria via LeMat-Bulk describes a relaxed Li5WNO4 crystal. The functional is PBE+U.

Geometry as POSCAR:
```
Li5WNO4
1.0
-1.3132 -3.6802 3.5487
-0.0031 -0.8223 -5.2140
9.3109 -2.8885 0.4500
O W Li N
8 2 10 2
direct
0.4613 0.1665 0.3786
0.4175 0.1256 0.1114
0.1256 0.4175 0.1114
0.8335 0.5387 0.8786
0.5387 0.8335 0.8786
0.8744 0.5825 0.6114
0.1665 0.4613 0.3786
0.5825 0.8744 0.6114
0.8149 0.8149 0.7510
0.1851 0.1851 0.2510
0.4193 0.4193 0.9702
0.5807 0.5807 0.4702
0.4440 0.8289 0.2441
0.5560 0.1711 0.7441
0.1970 0.7619 0.9954
0.8289 0.4440 0.2441
0.1711 0.5560 0.7441
0.7619 0.1970 0.9954
0.2381 0.8030 0.4954
0.8030 0.2381 0.4954
0.1735 0.1735 0.7702
0.8265 0.8265 0.2702
```

Computed properties:
Uncorrected energy (eV per atom): -5.863
DOS at the Fermi energy (states/eV/atom): 0.00